Computed, not measured: Ce2PuSn after structural relaxation at the PBE-GGA level of DFT.

```
Ce2PuSn
1.0
-2.9146 -3.4971 -0.7379
1.3411 -0.1385 -4.6410
3.4971 -3.1476 1.1044
Ce Pu Sn
2 1 1
Direct
0.0000 0.0000 0.5000
0.0000 0.5000 0.0000
0.5000 0.0000 0.0000
0.5000 0.5000 0.5000
```

## Properties
energy above the most stable polymorph in this dataset = 0.0 meV per atom
formation enthalpy at 0 K = -1.54 eV/f.u.
density of states at the Fermi level = 2.14 states/eV per atom
space group = P4/mmm
final energy = -7.936 eV per atom

---

Computed, not measured: Cd2SiRh after structural relaxation at the PBE-GGA level of DFT.

```
Cd2SiRh
1.0
-2.2757 1.3002 1.2277
-0.3994 -2.7842 -0.6821
3.2094 -2.5897 8.6913
Cd Rh Si
2 1 1
Direct
0.0000 0.0000 0.0150
0.0000 0.0000 0.4850
0.5000 0.5000 0.2500
0.5000 0.5000 0.7500
```

## Properties
density of states at the Fermi level = 0.40 states/eV per atom
space group = Cmmm
final energy = -3.372 eV per atom